DFT (GGA-PBE) results for crystalline LaHf2N at its relaxed geometry.

Lattice parameters (Å, degrees): 6.655 6.655 6.601 59.73 59.73 90.00
Sites, in units of the cell vectors:
1 Hf 0.375 0.576 0.750
2 Hf 0.875 0.674 0.750
3 Hf 0.326 0.625 0.250
4 Hf 0.424 0.125 0.250
5 N 0.500 0.500 0.000
6 N 0.250 0.750 0.500
7 La 0.000 0.000 0.000
8 La 0.750 0.250 0.500

Computed properties:
calculated density	8.26	g/cm3
D(E_F)	8.262	states/eV per cell
calculated total energy	-8.745	eV per atom
space group	I-42d, No. 122
spin magnetization	0.000	μB per formula unit